[1]
Below is a relaxed structure of CrAg2Sn2, with properties calculated at the PBE-GGA level.

a b c (Å): 7.292 7.292 4.107
angles (deg): 90.00 90.00 90.00
Sites, in units of the cell vectors:
Cr 0.000 0.000 0.000
Cr 0.500 0.500 0.000
Ag 0.853 0.353 0.500
Ag 0.147 0.647 0.500
Ag 0.353 0.147 0.500
Ag 0.647 0.853 0.500
Sn 0.654 0.154 0.000
Sn 0.846 0.654 0.000
Sn 0.154 0.346 0.000
Sn 0.346 0.846 0.000

## Properties
* calculated total energy: -0.1594 hartree per atom
* SG: No. 127
* calculated volume: 218 Å³ per cell
* M_tot: 3.6 μB/f.u.

[2]
Below is a relaxed structure of PuU4Se8, with properties calculated at the PBE-GGA level.

a b c (Å): 8.430 8.430 8.430
angles (deg): 60.00 60.00 60.00
Sites, in units of the cell vectors:
Se 0.613 0.613 0.613
Se 0.603 0.132 0.132
Se 0.132 0.603 0.132
Se 0.132 0.132 0.603
Se 0.132 0.132 0.132
Se 0.613 0.160 0.613
Se 0.160 0.613 0.613
Se 0.613 0.613 0.160
U 0.370 0.370 0.370
U 0.370 0.370 0.889
U 0.889 0.370 0.370
U 0.370 0.889 0.370
Pu 0.750 0.750 0.750

## Properties
* calculated total energy: -0.2878 hartree per atom
* formation energy from raw total energies: -1.112 eV/atom
* SG: No. 216
* calculated volume: 424 Å³ per cell
* M_tot: 16.0 μB/f.u.